LiTa2Ru: relaxed, PBE.

a b c (Å): 3.1570 4.6632 9.1483
angles (deg): 90.00 90.00 90.00
Fractional positions:
Li  0.0000  0.0000  0.0000
Li  0.5000  0.5000  0.0000
Ta  0.0000  0.0000  0.4577
Ta  0.0000  0.5000  0.7177
Ta  0.5000  0.0000  0.7177
Ta  0.5000  0.5000  0.4577
Ru  0.0000  0.5000  0.2330
Ru  0.5000  0.0000  0.2330

As for the space group: Cmm2.


Pm2Ho6Th: relaxed, PBE.

a b c (Å): 9.7513 9.7513 3.4783
angles (deg): 90.00 90.00 120.00
Fractional positions:
Pm  0.3333  0.6667  0.0000
Pm  0.6667  0.3333  0.0000
Ho  0.0000  0.3312  0.5000
Ho  0.0000  0.6688  0.5000
Ho  0.3312  0.0000  0.5000
Ho  0.3312  0.3312  0.5000
Ho  0.6688  0.0000  0.5000
Ho  0.6688  0.6688  0.5000
Th  0.0000  0.0000  0.0000

As for the space group: P6/mmm.


| no. | energy of formation (kJ/mol of formula units) | N(E_F) (states/eV per cell) | total moment (μB per atom) |
| --- | --- | --- | --- |
| 1 | 46 | 6.64 | 0.0000 |
| 2 | 51 | 12.87 | 0.0000 |